1.
Entry from Alexandria via LeMat-Bulk: a relaxed KSbPd3 crystal (PBE-GGA).

Summary:
Calculated volume = 232 Å³/cell
Energy relative to the elements, uncorrected = -85.4 meV/atom
Symmetry = P6_3/mmc, No. 194
Final energy = -4.2451 eV per atom
E above lowest polymorph = 0.0 meV/atom

Structure (POSCAR):
```
KSbPd3
1.0
6.340 0.000 0.000
-3.170 5.491 0.000
0.000 0.000 6.659
K Sb Pd
2 2 6
direct
0.333 0.667 0.250
0.667 0.333 0.750
0.000 0.000 0.000
0.000 0.000 0.500
0.188 0.375 0.750
0.188 0.812 0.750
0.375 0.188 0.250
0.625 0.812 0.750
0.812 0.188 0.250
0.812 0.625 0.250
```



2.
Entry from Alexandria via LeMat-Bulk: a relaxed KSb3Pd crystal (PBE-GGA).

Summary:
Calculated volume = 157 Å³/cell
Energy relative to the elements, uncorrected = 29.4 meV/atom
Symmetry = Pm-3m, No. 221
Final energy = -3.7021 eV per atom
E above lowest polymorph = 320.3 meV/atom

Structure (POSCAR):
```
KSb3Pd
1.0
5.391 0.000 0.000
0.000 5.391 0.000
0.000 0.000 5.391
K Sb Pd
1 3 1
direct
0.000 0.000 0.000
0.000 0.500 0.500
0.500 0.000 0.500
0.500 0.500 0.000
0.500 0.500 0.500
```



3.
Entry from Alexandria via LeMat-Bulk: a relaxed K3Sb3Pd2 crystal (PBE-GGA).

Summary:
Calculated volume = 502 Å³/cell
Energy relative to the elements, uncorrected = -415.5 meV/atom
Symmetry = Cmcm, No. 63
Final energy = -3.6712 eV per atom

Structure (POSCAR):
```
K3Sb3Pd2
1.0
2.323 -6.284 0.000
2.323 6.284 0.000
0.000 0.000 17.187
K Sb Pd
6 6 4
direct
0.028 0.972 0.610
0.028 0.972 0.890
0.348 0.652 0.750
0.652 0.348 0.250
0.972 0.028 0.110
0.972 0.028 0.390
0.307 0.693 0.548
0.307 0.693 0.952
0.352 0.648 0.250
0.648 0.352 0.750
0.693 0.307 0.048
0.693 0.307 0.452
0.271 0.729 0.106
0.271 0.729 0.394
0.729 0.271 0.606
0.729 0.271 0.894
```



4.
Entry from Alexandria via LeMat-Bulk: a relaxed K2Sb2Pd crystal (PBE-GGA).

Summary:
Calculated volume = 164 Å³/cell
Energy relative to the elements, uncorrected = -436.3 meV/atom
Symmetry = Immm, No. 71
Final energy = -3.5628 eV per atom

Structure (POSCAR):
```
K2Sb2Pd
1.0
-2.269 3.237 5.587
2.269 -3.237 5.587
2.269 3.237 -5.587
K Sb Pd
2 2 1
direct
0.199 0.199 0.000
0.801 0.801 0.000
0.271 0.500 0.771
0.729 0.500 0.229
0.500 0.000 0.500
```



5.
Entry from Alexandria via LeMat-Bulk: a relaxed K3Sb4Pd crystal (PBE-GGA).

Summary:
Calculated volume = 551 Å³/cell
Energy relative to the elements, uncorrected = -297.6 meV/atom
Symmetry = Pmmn, No. 59
Final energy = -3.4194 eV per atom

Structure (POSCAR):
```
K3Sb4Pd
1.0
6.763 0.000 0.000
0.000 12.919 0.000
0.000 0.000 6.308
K Sb Pd
6 8 2
direct
0.250 0.004 0.161
0.250 0.250 0.529
0.250 0.496 0.161
0.750 0.504 0.839
0.750 0.750 0.471
0.750 0.996 0.839
0.008 0.750 0.981
0.250 0.623 0.655
0.250 0.877 0.655
0.492 0.750 0.981
0.508 0.250 0.019
0.750 0.123 0.345
0.750 0.377 0.345
0.992 0.250 0.019
0.250 0.750 0.322
0.750 0.250 0.678
```



6.
Entry from Alexandria via LeMat-Bulk: a relaxed K4SbPd5 crystal (PBE-GGA).

Summary:
Calculated volume = 318 Å³/cell
Energy relative to the elements, uncorrected = -8.5 meV/atom
Symmetry = C2, No. 5
Final energy = -3.4562 eV per atom

Structure (POSCAR):
```
K4SbPd5
1.0
7.134 -3.123 0.000
7.134 3.123 0.000
-7.126 0.000 7.136
K Sb Pd
4 1 5
direct
0.100 0.100 0.405
0.304 0.304 0.204
0.696 0.696 0.796
0.900 0.900 0.595
0.758 0.242 0.000
0.165 0.835 0.000
0.302 0.326 0.876
0.426 0.450 0.752
0.550 0.574 0.248
0.674 0.698 0.124
```



7.
Entry from Alexandria via LeMat-Bulk: a relaxed K3SbPd crystal (PBE-GGA).

Summary:
Calculated volume = 218 Å³/cell
Energy relative to the elements, uncorrected = 176.2 meV/atom
Symmetry = Pm-3m, No. 221
Final energy = -2.3454 eV per atom

Structure (POSCAR):
```
K3SbPd
1.0
6.016 0.000 0.000
0.000 6.016 0.000
0.000 0.000 6.016
K Sb Pd
3 1 1
direct
0.000 0.000 0.500
0.000 0.500 0.000
0.500 0.000 0.000
0.500 0.500 0.500
0.000 0.000 0.000
```



8.
Entry from Alexandria via LeMat-Bulk: a relaxed KSb3Pd crystal (PBE-GGA).

Summary:
Calculated volume = 190 Å³/cell
Energy relative to the elements, uncorrected = 1555.6 meV/atom
Symmetry = Pm-3m, No. 221
Final energy = -2.1759 eV per atom
E above lowest polymorph = 1846.5 meV/atom

Structure (POSCAR):
```
KSb3Pd
1.0
5.754 0.000 0.000
0.000 5.754 0.000
0.000 0.000 5.754
K Sb Pd
1 3 1
direct
0.000 0.000 0.000
0.000 0.000 0.500
0.000 0.500 0.000
0.500 0.000 0.000
0.500 0.500 0.500
```



9.
Entry from Alexandria via LeMat-Bulk: a relaxed KSbPd2 crystal (PBE-GGA).

Summary:
Calculated volume = 222 Å³/cell
Energy relative to the elements, uncorrected = -25.0 meV/atom
Symmetry = I-42d, No. 122
Final energy = -3.9264 eV per atom

Structure (POSCAR):
```
KSbPd2
1.0
-3.987 3.987 3.490
3.987 -3.987 3.490
3.987 3.987 -3.490
K Sb Pd
2 2 4
direct
0.000 0.000 0.000
0.750 0.250 0.500
0.250 0.750 0.500
0.500 0.500 0.000
0.206 0.125 0.581
0.375 0.794 0.919
0.544 0.625 0.419
0.875 0.456 0.081
```



10.
Entry from Alexandria via LeMat-Bulk: a relaxed K6Sb2Pd crystal (PBE-GGA).

Summary:
Calculated volume = 339 Å³/cell
Energy relative to the elements, uncorrected = -369.3 meV/atom
Symmetry = R-3m, No. 166
Final energy = -2.5941 eV per atom

Structure (POSCAR):
```
K6Sb2Pd
1.0
3.007 1.736 10.820
-3.007 1.736 10.820
0.000 -3.472 10.820
K Sb Pd
6 2 1
direct
0.081 0.081 0.081
0.196 0.196 0.196
0.308 0.308 0.308
0.692 0.692 0.692
0.804 0.804 0.804
0.919 0.919 0.919
0.417 0.417 0.417
0.583 0.583 0.583
0.500 0.500 0.500
```



11.
Entry from Alexandria via LeMat-Bulk: a relaxed KSbPd2 crystal (PBE-GGA).

Summary:
Calculated volume = 218 Å³/cell
Energy relative to the elements, uncorrected = -462.9 meV/atom
Symmetry = Pmmn, No. 59
Final energy = -4.3642 eV per atom

Structure (POSCAR):
```
KSbPd2
1.0
4.570 0.000 0.000
0.000 7.508 0.000
0.000 0.000 6.345
K Sb Pd
2 2 4
direct
0.250 0.250 0.115
0.750 0.750 0.885
0.250 0.750 0.399
0.750 0.250 0.601
0.250 0.063 0.603
0.250 0.437 0.603
0.750 0.563 0.397
0.750 0.937 0.397
```



12.
Entry from Alexandria via LeMat-Bulk: a relaxed K2Sb4Pd3 crystal (PBE-GGA).

Summary:
Calculated volume = 237 Å³/cell
Energy relative to the elements, uncorrected = -400.5 meV/atom
Symmetry = Fmmm, No. 69
Final energy = -4.2075 eV per atom

Structure (POSCAR):
```
K2Sb4Pd3
1.0
0.000 5.559 6.798
3.141 0.000 6.798
3.141 5.559 0.000
K Sb Pd
2 4 3
direct
0.130 0.130 0.870
0.870 0.870 0.130
0.187 0.523 0.477
0.477 0.813 0.187
0.523 0.187 0.813
0.813 0.477 0.523
0.000 0.000 0.500
0.500 0.500 0.000
0.500 0.500 0.500
```



13.
Entry from Alexandria via LeMat-Bulk: a relaxed K3Sb4Pd4 crystal (PBE-GGA).

Summary:
Calculated volume = 293 Å³/cell
Energy relative to the elements, uncorrected = -414.5 meV/atom
Symmetry = I-43m, No. 217
Final energy = -4.1011 eV per atom
E above lowest polymorph = 9.6 meV/atom

Structure (POSCAR):
```
K3Sb4Pd4
1.0
-4.183 4.183 4.183
4.183 -4.183 4.183
4.183 4.183 -4.183
K Sb Pd
3 4 4
direct
0.000 0.500 0.500
0.500 0.000 0.500
0.500 0.500 0.000
0.000 0.000 0.367
0.000 0.367 0.000
0.367 0.000 0.000
0.633 0.633 0.633
0.000 0.000 0.729
0.000 0.729 0.000
0.271 0.271 0.271
0.729 0.000 0.000
```



14.
Entry from Alexandria via LeMat-Bulk: a relaxed K3Sb4Pd7 crystal (PBE-GGA).

Summary:
Calculated volume = 345 Å³/cell
Energy relative to the elements, uncorrected = -397.0 meV/atom
Symmetry = C2/m, No. 12
Final energy = -4.4064 eV per atom

Structure (POSCAR):
```
K3Sb4Pd7
1.0
8.546 -2.268 0.000
8.546 2.268 0.000
-7.333 0.000 8.909
K Sb Pd
3 4 7
direct
0.000 0.000 0.000
0.289 0.289 0.294
0.711 0.711 0.706
0.099 0.099 0.388
0.330 0.330 0.021
0.670 0.670 0.979
0.901 0.901 0.612
0.000 0.000 0.500
0.124 0.124 0.830
0.305 0.305 0.586
0.495 0.495 0.328
0.505 0.505 0.672
0.695 0.695 0.414
0.876 0.876 0.170
```



15.
Entry from Alexandria via LeMat-Bulk: a relaxed K2Sn3SbPd4 crystal (PBE-GGA).

Summary:
Calculated volume = 245 Å³/cell
Energy relative to the elements, uncorrected = -431.2 meV/atom
Symmetry = P-4m2, No. 115
Final energy = -4.3410 eV per atom

Structure (POSCAR):
```
K2Sn3SbPd4
1.0
4.803 0.000 0.000
0.000 4.803 0.000
0.000 0.000 10.606
K Sn Sb Pd
2 3 1 4
direct
0.000 0.500 0.245
0.500 0.000 0.755
0.000 0.500 0.884
0.500 0.000 0.116
0.500 0.500 0.500
0.000 0.000 0.500
0.000 0.000 0.000
0.000 0.500 0.626
0.500 0.000 0.374
0.500 0.500 0.000
```



16.
Entry from Alexandria via LeMat-Bulk: a relaxed K2TcSbPd crystal (PBE-GGA).

Summary:
Calculated volume = 214 Å³/cell
Energy relative to the elements, uncorrected = 936.1 meV/atom
Symmetry = P4/mmm, No. 123
Final energy = -3.4392 eV per atom

Structure (POSCAR):
```
K2TcSbPd
1.0
6.499 0.000 0.000
0.000 6.499 0.000
0.000 0.000 5.070
K Tc Sb Pd
2 1 1 1
direct
0.000 0.500 0.000
0.500 0.000 0.000
0.000 0.000 0.500
0.000 0.000 0.000
0.500 0.500 0.500
```



17.
Entry from Alexandria via LeMat-Bulk: a relaxed KSb2TePd crystal (PBE-GGA).

Summary:
Calculated volume = 196 Å³/cell
Energy relative to the elements, uncorrected = 1419.8 meV/atom
Symmetry = P4/mmm, No. 123
Final energy = -2.1155 eV per atom
E above lowest polymorph = 1505.0 meV/atom

Structure (POSCAR):
```
KSb2TePd
1.0
5.789 0.000 0.000
0.000 5.789 0.000
0.000 0.000 5.836
K Sb Te Pd
1 2 1 1
direct
0.000 0.000 0.000
0.000 0.500 0.000
0.500 0.000 0.000
0.000 0.000 0.500
0.500 0.500 0.500
```



18.
Entry from Alexandria via LeMat-Bulk: a relaxed KSbTe3Pd crystal (PBE-GGA).

Summary:
Calculated volume = 428 Å³/cell
Energy relative to the elements, uncorrected = -386.9 meV/atom
Symmetry = P2_1/m, No. 11
Final energy = -3.6932 eV per atom

Structure (POSCAR):
```
KSbTe3Pd
1.0
9.708 0.000 0.000
0.000 4.569 0.000
-1.614 0.000 9.657
K Sb Te Pd
2 2 6 2
direct
0.153 0.250 0.238
0.847 0.750 0.762
0.358 0.750 0.869
0.642 0.250 0.131
0.146 0.250 0.864
0.195 0.750 0.555
0.427 0.750 0.172
0.573 0.250 0.828
0.805 0.250 0.445
0.854 0.750 0.136
0.061 0.250 0.588
0.939 0.750 0.412
```



19.
Entry from Alexandria via LeMat-Bulk: a relaxed KSb2TePd crystal (PBE-GGA).

Summary:
Calculated volume = 160 Å³/cell
Energy relative to the elements, uncorrected = -85.2 meV/atom
Symmetry = P4/mmm, No. 123
Final energy = -3.6206 eV per atom
E above lowest polymorph = 0.0 meV/atom

Structure (POSCAR):
```
KSb2TePd
1.0
5.246 0.000 0.000
0.000 5.246 0.000
0.000 0.000 5.807
K Sb Te Pd
1 2 1 1
direct
0.000 0.000 0.000
0.000 0.500 0.500
0.500 0.000 0.500
0.500 0.500 0.000
0.500 0.500 0.500
```



20.
Entry from Alexandria via LeMat-Bulk: a relaxed KSbTe2Pd crystal (PBE-GGA).

Summary:
Calculated volume = 162 Å³/cell
Energy relative to the elements, uncorrected = -183.4 meV/atom
Symmetry = P4/mmm, No. 123
Final energy = -3.5226 eV per atom
E above lowest polymorph = 0.0 meV/atom

Structure (POSCAR):
```
KSbTe2Pd
1.0
5.632 0.000 0.000
0.000 5.632 0.000
0.000 0.000 5.093
K Sb Te Pd
1 1 2 1
direct
0.000 0.000 0.000
0.500 0.500 0.000
0.000 0.500 0.500
0.500 0.000 0.500
0.500 0.500 0.500
```